Entry 1:
Computed, not measured: an optimized crystal structure of Co5Ni5Pt at the GGA-PBE level of DFT.

Computed properties:
As for the total DFT energy (no corrections): -69.1 eV/cell. Its symmetry is P-1, No. 2.

abc: 5.070 6.125 8.014
angles: 38.52 71.41 90.09
Each line ends with the local moment (μB).
Positions (direct):
Co: 0.667 0.018 0.657  1.79
Co: 0.000 0.500 0.500  1.83
Ni: 0.500 0.000 0.000  0.75
Ni: 0.828 0.996 0.340  0.73
Ni: 0.826 0.508 0.832  0.71
Ni: 0.172 0.004 0.660  0.73
Co: 0.333 0.982 0.343  1.79
Co: 0.341 0.511 0.832  1.78
Pt: 0.000 0.000 0.000  0.34
Ni: 0.174 0.492 0.168  0.71
Co: 0.659 0.489 0.168  1.78

---

Entry 2:
Computed, not measured: an optimized crystal structure of CoNi4Pt at the GGA-PBE level of DFT.

Computed properties:
Its symmetry is C2/c, No. 15. The energy above the most stable polymorph in this dataset is 1.96 kJ per mole of atoms.

abc: 4.241 4.236 8.479
angles: 104.52 104.48 90.00
Each line ends with the local moment (μB).
Positions (direct):
Ni: 0.930 0.921 0.343  0.71
Ni: 0.830 0.344 0.187  0.66
Ni: 0.070 0.079 0.657  0.71
Co: 0.500 0.000 0.500  1.88
Ni: 0.413 0.421 0.343  0.71
Ni: 0.587 0.579 0.657  0.71
Ni: 0.170 0.656 0.813  0.66
Pt: 0.237 0.250 0.000  0.31
Ni: 0.643 0.156 0.813  0.66
Pt: 0.763 0.750 0.000  0.31
Ni: 0.357 0.844 0.187  0.66
Co: 0.000 0.500 0.500  1.88

---

Entry 3:
Computed, not measured: an optimized crystal structure of Co4Ni5Pt2 at the GGA-PBE level of DFT.

Computed properties:
Its symmetry is C2/m, No. 12. The energy above the most stable polymorph in this dataset is 0.00 kJ per mole of atoms.

abc: 4.577 4.635 6.762
angles: 110.04 92.65 90.00
Each line ends with the local moment (μB).
Positions (direct):
Pt: 0.386 0.190 0.379  0.35
Co: 0.894 0.262 0.524  1.79
Ni: 0.103 0.164 0.826  0.71
Ni: 0.103 0.662 0.826  0.71
Ni: 0.897 0.338 0.174  0.71
Co: 0.383 0.580 0.161  1.84
Ni: 0.897 0.836 0.174  0.71
Co: 0.617 0.420 0.839  1.84
Pt: 0.614 0.810 0.621  0.35
Co: 0.106 0.738 0.476  1.79
Ni: 0.500 0.000 0.000  0.61

---

Entry 4:
Computed, not measured: an optimized crystal structure of Co2Ni8Pt at the GGA-PBE level of DFT.

Computed properties:
Its symmetry is C2/m, No. 12. The energy above the most stable polymorph in this dataset is 20.48 kJ per mole of atoms.

abc: 4.291 6.505 7.023
angles: 62.41 72.21 48.73
Each line ends with the local moment (μB).
Positions (direct):
Ni: 0.752 0.502 0.000  0.69
Ni: 0.762 0.375 0.728  0.71
Ni: 0.238 0.897 0.728  0.71
Co: 0.000 0.315 0.369  1.83
Ni: 0.500 0.799 0.403  0.70
Ni: 0.238 0.625 0.272  0.71
Ni: 0.762 0.103 0.272  0.71
Pt: 0.500 0.000 0.000  0.23
Ni: 0.248 0.498 0.000  0.69
Co: 0.000 0.685 0.631  1.83
Ni: 0.500 0.201 0.597  0.70

---

Entry 5:
Computed, not measured: an optimized crystal structure of CoNiPt2 at the GGA-PBE level of DFT.

Computed properties:
As for the total DFT energy (no corrections): -25.1 eV/cell. Its symmetry is R3m, No. 160.

abc: 8.747 8.747 8.747
angles: 17.81 17.81 17.81
Each line ends with the local moment (μB).
Positions (direct):
Pt: 0.244 0.244 0.244  0.25
Pt: 0.006 0.006 0.006  0.16
Ni: 0.755 0.755 0.755  0.83
Co: 0.495 0.495 0.495  1.91

---

Entry 6:
Computed, not measured: an optimized crystal structure of CoNi2Pt at the GGA-PBE level of DFT.

Computed properties:
As for the total DFT energy (no corrections): -24.8 eV/cell. Its symmetry is Cmmm, No. 65.

abc: 4.462 4.462 2.624
angles: 90.00 90.00 109.09
Each line ends with the local moment (μB).
Positions (direct):
Co: 0.000 0.500 0.500  1.89
Ni: 0.500 0.500 0.000  0.69
Ni: 0.000 0.000 0.000  0.69
Pt: 0.500 0.000 0.500  0.28

---

no.,V (A^3/atom)
1,12.090
2,11.871
3,12.236
4,11.871
5,13.656
6,12.342